--- P ---
# PBE-GGA Dy2GaCl, relaxed
data_Dy2GaCl
_chemical_formula_sum 'Dy2 Ga1 Cl1'
_cell_length_a 3.618
_cell_length_b 3.618
_cell_length_c 8.674
_cell_angle_alpha 77.96
_cell_angle_beta 77.96
_cell_angle_gamma 60.00
_space_group_name_H-M_alt 'P 1'
_space_group_IT_number 1
_space_group_name_Hall 'P 1'
loop_
_atom_site_label
_atom_site_type_symbol
_atom_site_fract_x
_atom_site_fract_y
_atom_site_fract_z
Dy1 Dy 0.082 0.082 0.754
Dy2 Dy 0.252 0.252 0.243
Ga1 Ga 0.667 0.667 0.998
Cl1 Cl 0.498 0.498 0.505
# Space group: R3m (160)
# M_tot in μB/cell: 0.00
# Crystal system: trigonal
# Volume in A^3/atom: 23.86
# DOS at the Fermi energy in states/eV per atom: 0.353

=====

--- Q ---
# PBE-GGA Dy2GaCl, relaxed
data_Dy2GaCl
_chemical_formula_sum 'Dy2 Ga1 Cl1'
_cell_length_a 3.684
_cell_length_b 3.684
_cell_length_c 8.463
_cell_angle_alpha 77.43
_cell_angle_beta 77.43
_cell_angle_gamma 60.00
_space_group_name_H-M_alt 'P 1'
_space_group_IT_number 1
_space_group_name_Hall 'P 1'
loop_
_atom_site_label
_atom_site_type_symbol
_atom_site_fract_x
_atom_site_fract_y
_atom_site_fract_z
Cl1 Cl 0.000 0.000 0.000
Ga1 Ga 0.500 0.500 0.500
Dy1 Dy 0.752 0.752 0.743
Dy2 Dy 0.248 0.248 0.257
# Space group: R-3m (166)
# M_tot in μB/cell: 0.00
# Crystal system: trigonal
# Volume in A^3/atom: 24.07
# DOS at the Fermi energy in states/eV per atom: 0.349

=====

Stability ranking, top and bottom: P is the most stable and Q is the least stable.

=====

--- P ---
# PBE-GGA Dy2GeCl, relaxed
data_Dy2GeCl
_chemical_formula_sum 'Dy2 Ge1 Cl1'
_cell_length_a 4.170
_cell_length_b 4.170
_cell_length_c 6.970
_cell_angle_alpha 72.60
_cell_angle_beta 72.60
_cell_angle_gamma 60.00
_space_group_name_H-M_alt 'P 1'
_space_group_IT_number 1
_space_group_name_Hall 'P 1'
loop_
_atom_site_label
_atom_site_type_symbol
_atom_site_fract_x
_atom_site_fract_y
_atom_site_fract_z
Ge1 Ge 0.000 0.000 0.000
Cl1 Cl 0.500 0.500 0.500
Dy1 Dy 0.258 0.258 0.226
Dy2 Dy 0.742 0.742 0.774
# Space group: R-3m (166)
# M_tot in μB/cell: 0.00
# Crystal system: trigonal
# Volume in A^3/atom: 24.62
# DOS at the Fermi energy in states/eV per atom: 0.530

=====

--- Q ---
# PBE-GGA Dy2GeCl, relaxed
data_Dy2GeCl
_chemical_formula_sum 'Dy2 Ge1 Cl1'
_cell_length_a 4.075
_cell_length_b 4.075
_cell_length_c 7.537
_cell_angle_alpha 74.32
_cell_angle_beta 74.32
_cell_angle_gamma 60.00
_space_group_name_H-M_alt 'P 1'
_space_group_IT_number 1
_space_group_name_Hall 'P 1'
loop_
_atom_site_label
_atom_site_type_symbol
_atom_site_fract_x
_atom_site_fract_y
_atom_site_fract_z
Dy1 Dy 0.071 0.071 0.787
Dy2 Dy 0.264 0.264 0.208
Ge1 Ge 0.669 0.669 0.994
Cl1 Cl 0.497 0.497 0.510
# Space group: R3m (160)
# M_tot in μB/cell: 0.00
# Crystal system: trigonal
# Volume in A^3/atom: 25.74
# DOS at the Fermi energy in states/eV per atom: 0.598

=====

Stability ranking, top and bottom: P is the most stable and Q is the least stable.

=====

--- P ---
# PBE-GGA DyI2Cl, relaxed
data_DyI2Cl
_chemical_formula_sum 'Dy1 I2 Cl1'
_cell_length_a 3.873
_cell_length_b 7.552
_cell_length_c 7.552
_cell_angle_alpha 61.12
_cell_angle_beta 75.12
_cell_angle_gamma 75.12
_space_group_name_H-M_alt 'P 1'
_space_group_IT_number 1
_space_group_name_Hall 'P 1'
loop_
_atom_site_label
_atom_site_type_symbol
_atom_site_fract_x
_atom_site_fract_y
_atom_site_fract_z
Dy1 Dy 0.750 0.895 0.605
I1 I 0.088 0.896 0.928
I2 I 0.412 0.572 0.604
Cl1 Cl 0.250 0.137 0.363
# Space group: Imm2 (44)
# M_tot in μB/cell: 0.00
# Crystal system: orthorhombic
# Volume in A^3/atom: 46.16
# DOS at the Fermi energy in states/eV per atom: 0.000

=====

--- Q ---
# PBE-GGA DyI2Cl, relaxed
data_DyI2Cl
_chemical_formula_sum 'Dy1 I2 Cl1'
_cell_length_a 4.345
_cell_length_b 5.283
_cell_length_c 8.626
_cell_angle_alpha 89.16
_cell_angle_beta 75.66
_cell_angle_gamma 90.00
_space_group_name_H-M_alt 'P 1'
_space_group_IT_number 1
_space_group_name_Hall 'P 1'
loop_
_atom_site_label
_atom_site_type_symbol
_atom_site_fract_x
_atom_site_fract_y
_atom_site_fract_z
Dy1 Dy 0.000 0.000 0.000
I1 I 0.375 0.994 0.256
I2 I 0.626 0.006 0.744
Cl1 Cl 0.999 0.500 0.000
# Space group: P1 (1)
# M_tot in μB/cell: 0.00
# Crystal system: triclinic
# Volume in A^3/atom: 47.95
# DOS at the Fermi energy in states/eV per atom: 0.000

=====

Stability ranking, top and bottom: Q is the most stable and P is the least stable.

=====

--- P ---
# PBE-GGA Dy2IrCl, relaxed
data_Dy2IrCl
_chemical_formula_sum 'Dy2 Ir1 Cl1'
_cell_length_a 3.364
_cell_length_b 3.364
_cell_length_c 8.024
_cell_angle_alpha 90.00
_cell_angle_beta 90.00
_cell_angle_gamma 90.00
_space_group_name_H-M_alt 'P 1'
_space_group_IT_number 1
_space_group_name_Hall 'P 1'
loop_
_atom_site_label
_atom_site_type_symbol
_atom_site_fract_x
_atom_site_fract_y
_atom_site_fract_z
Cl1 Cl 0.500 0.500 0.500
Ir1 Ir 0.500 0.500 0.000
Dy1 Dy 0.000 0.000 0.789
Dy2 Dy 0.000 0.000 0.211
# Space group: P4/mmm (123)
# M_tot in μB/cell: 0.00
# Crystal system: tetragonal
# Volume in A^3/atom: 22.70
# DOS at the Fermi energy in states/eV per atom: 0.312

=====

--- Q ---
# PBE-GGA Dy2IrCl, relaxed
data_Dy2IrCl
_chemical_formula_sum 'Dy2 Ir1 Cl1'
_cell_length_a 4.015
_cell_length_b 4.015
_cell_length_c 7.695
_cell_angle_alpha 74.88
_cell_angle_beta 74.88
_cell_angle_gamma 60.00
_space_group_name_H-M_alt 'P 1'
_space_group_IT_number 1
_space_group_name_Hall 'P 1'
loop_
_atom_site_label
_atom_site_type_symbol
_atom_site_fract_x
_atom_site_fract_y
_atom_site_fract_z
Cl1 Cl 0.500 0.500 0.500
Ir1 Ir 0.000 0.000 0.000
Dy1 Dy 0.267 0.267 0.200
Dy2 Dy 0.733 0.733 0.800
# Space group: R-3m (166)
# M_tot in μB/cell: 0.00
# Crystal system: trigonal
# Volume in A^3/atom: 25.62
# DOS at the Fermi energy in states/eV per atom: 0.262

=====

--- R ---
# PBE-GGA Dy2IrCl, relaxed
data_Dy2IrCl
_chemical_formula_sum 'Dy2 Ir1 Cl1'
_cell_length_a 4.017
_cell_length_b 4.017
_cell_length_c 7.839
_cell_angle_alpha 75.15
_cell_angle_beta 75.15
_cell_angle_gamma 60.00
_space_group_name_H-M_alt 'P 1'
_space_group_IT_number 1
_space_group_name_Hall 'P 1'
loop_
_atom_site_label
_atom_site_type_symbol
_atom_site_fract_x
_atom_site_fract_y
_atom_site_fract_z
Dy1 Dy 0.067 0.067 0.798
Dy2 Dy 0.271 0.271 0.188
Ir1 Ir 0.668 0.668 0.996
Cl1 Cl 0.494 0.494 0.518
# Space group: R3m (160)
# M_tot in μB/cell: 0.00
# Crystal system: trigonal
# Volume in A^3/atom: 26.16
# DOS at the Fermi energy in states/eV per atom: 0.161

=====

Stability ranking, top and bottom: Q is the most stable and P is the least stable.

=====

--- P ---
# PBE-GGA KDyCl4, relaxed
data_KDyCl4
_chemical_formula_sum 'K2 Dy2 Cl8'
_cell_length_a 7.312
_cell_length_b 6.887
_cell_length_c 7.758
_cell_angle_alpha 90.00
_cell_angle_beta 100.67
_cell_angle_gamma 90.00
_space_group_name_H-M_alt 'P 1'
_space_group_IT_number 1
_space_group_name_Hall 'P 1'
loop_
_atom_site_label
_atom_site_type_symbol
_atom_site_fract_x
_atom_site_fract_y
_atom_site_fract_z
K1 K 0.000 0.000 0.000
K2 K 0.500 0.500 0.000
Dy1 Dy 0.500 0.000 0.500
Dy2 Dy 0.000 0.500 0.500
Cl1 Cl 0.896 0.630 0.184
Cl2 Cl 0.604 0.130 0.816
Cl3 Cl 0.283 0.312 0.393
Cl4 Cl 0.217 0.812 0.607
Cl5 Cl 0.104 0.370 0.816
Cl6 Cl 0.396 0.870 0.184
Cl7 Cl 0.717 0.688 0.607
Cl8 Cl 0.783 0.188 0.393
# Space group: P2_1/c (14)
# M_tot in μB/cell: 0.00
# Crystal system: monoclinic
# Volume in A^3/atom: 32.00
# DOS at the Fermi energy in states/eV per atom: 0.000

=====

--- Q ---
# PBE-GGA KDyCl4, relaxed
data_KDyCl4
_chemical_formula_sum 'K2 Dy2 Cl8'
_cell_length_a 6.729
_cell_length_b 7.456
_cell_length_c 8.777
_cell_angle_alpha 97.51
_cell_angle_beta 112.59
_cell_angle_gamma 90.00
_space_group_name_H-M_alt 'P 1'
_space_group_IT_number 1
_space_group_name_Hall 'P 1'
loop_
_atom_site_label
_atom_site_type_symbol
_atom_site_fract_x
_atom_site_fract_y
_atom_site_fract_z
K1 K 0.736 0.750 0.001
K2 K 0.264 0.250 0.999
Dy1 Dy 0.500 0.000 0.500
Dy2 Dy 0.000 0.500 0.500
Cl1 Cl 0.541 0.073 0.808
Cl2 Cl 0.733 0.427 0.193
Cl3 Cl 0.459 0.927 0.192
Cl4 Cl 0.267 0.573 0.807
Cl5 Cl 0.722 0.705 0.592
Cl6 Cl 0.130 0.795 0.408
Cl7 Cl 0.278 0.295 0.408
Cl8 Cl 0.870 0.205 0.592
# Space group: P-1 (2)
# M_tot in μB/cell: 0.00
# Crystal system: triclinic
# Volume in A^3/atom: 33.54
# DOS at the Fermi energy in states/eV per atom: 0.000

=====

Stability ranking, top and bottom: P is the most stable and Q is the least stable.

=====

--- P ---
# PBE-GGA K2RbDyCl6, relaxed
data_K2RbDyCl6
_chemical_formula_sum 'K2 Rb1 Dy1 Cl6'
_cell_length_a 8.102
_cell_length_b 8.102
_cell_length_c 8.102
_cell_angle_alpha 60.00
_cell_angle_beta 60.00
_cell_angle_gamma 60.00
_space_group_name_H-M_alt 'P 1'
_space_group_IT_number 1
_space_group_name_Hall 'P 1'
loop_
_atom_site_label
_atom_site_type_symbol
_atom_site_fract_x
_atom_site_fract_y
_atom_site_fract_z
K1 K 0.750 0.750 0.750
K2 K 0.250 0.250 0.250
Rb1 Rb 0.500 0.500 0.500
Dy1 Dy 0.000 0.000 0.000
Cl1 Cl 0.770 0.230 0.230
Cl2 Cl 0.230 0.230 0.770
Cl3 Cl 0.230 0.770 0.770
Cl4 Cl 0.230 0.770 0.230
Cl5 Cl 0.770 0.230 0.770
Cl6 Cl 0.770 0.770 0.230
# Space group: Fm-3m (225)
# M_tot in μB/cell: 0.00
# Crystal system: cubic
# Volume in A^3/atom: 37.60
# DOS at the Fermi energy in states/eV per atom: 0.000

=====

--- Q ---
# PBE-GGA K2RbDyCl6, relaxed
data_K2RbDyCl6
_chemical_formula_sum 'K2 Rb1 Dy1 Cl6'
_cell_length_a 7.777
_cell_length_b 7.777
_cell_length_c 8.131
_cell_angle_alpha 61.43
_cell_angle_beta 61.43
_cell_angle_gamma 59.99
_space_group_name_H-M_alt 'P 1'
_space_group_IT_number 1
_space_group_name_Hall 'P 1'
loop_
_atom_site_label
_atom_site_type_symbol
_atom_site_fract_x
_atom_site_fract_y
_atom_site_fract_z
K1 K 0.530 0.530 0.411
K2 K 0.019 0.019 0.943
Rb1 Rb 0.812 0.812 0.563
Dy1 Dy 0.323 0.323 0.031
Cl1 Cl 0.560 0.218 0.238
Cl2 Cl 0.218 0.983 0.238
Cl3 Cl 0.983 0.561 0.238
Cl4 Cl 0.412 0.670 0.784
Cl5 Cl 0.670 0.134 0.784
Cl6 Cl 0.134 0.412 0.784
# Space group: R3 (146)
# M_tot in μB/cell: 0.00
# Crystal system: trigonal
# Volume in A^3/atom: 35.51
# DOS at the Fermi energy in states/eV per atom: 0.000

=====

Stability ranking, top and bottom: Q is the most stable and P is the least stable.